Record 1
{"formula": "Hf2As2I", "functional": "PBE-GGA", "state": "relaxed", "cell": [[8.010, 0.000, 0.000], [0.000, 8.010, 0.000], [0.000, 0.000, 3.354]], "species": ["Hf", "Hf", "Hf", "Hf", "As", "As", "As", "As", "I", "I"], "fractional_positions": [[0.154, 0.346, 0.000], [0.346, 0.846, 0.000], [0.654, 0.154, 0.000], [0.846, 0.654, 0.000], [0.130, 0.630, 0.500], [0.370, 0.130, 0.500], [0.630, 0.870, 0.500], [0.870, 0.370, 0.500], [0.000, 0.000, 0.500], [0.500, 0.500, 0.500]], "total_energy_ha_per_atom": -0.2355, "raw_formation_energy_mev_per_atom": -256}

***

Record 2
{"formula": "HfAs3I", "functional": "PBE-GGA", "state": "relaxed", "cell": [[5.175, 0.000, 0.000], [0.000, 5.175, 0.000], [0.000, 0.000, 5.175]], "species": ["Hf", "As", "As", "As", "I"], "fractional_positions": [[0.000, 0.000, 0.000], [0.000, 0.500, 0.500], [0.500, 0.000, 0.500], [0.500, 0.500, 0.000], [0.500, 0.500, 0.500]], "total_energy_ha_per_atom": -0.1383, "raw_formation_energy_mev_per_atom": 1328}

***

Record 3
{"formula": "HfAsIN2", "functional": "PBE-GGA", "state": "relaxed", "cell": [[4.171, 0.000, 0.000], [0.000, 4.171, 0.000], [0.000, 0.000, 6.026]], "species": ["Hf", "As", "I", "N", "N"], "fractional_positions": [[0.000, 0.000, 0.000], [0.500, 0.500, 0.500], [0.000, 0.000, 0.500], [0.000, 0.500, 0.000], [0.500, 0.000, 0.000]], "total_energy_ha_per_atom": -0.2179, "raw_formation_energy_mev_per_atom": 632}

***

Record 4
{"formula": "HfAsIN2", "functional": "PBE-GGA", "state": "relaxed", "cell": [[4.045, 0.000, 0.000], [0.000, 4.045, 0.000], [0.000, 0.000, 5.226]], "species": ["Hf", "As", "I", "N", "N"], "fractional_positions": [[0.000, 0.000, 0.000], [0.500, 0.500, 0.500], [0.500, 0.500, 0.000], [0.000, 0.500, 0.500], [0.500, 0.000, 0.500]], "total_energy_ha_per_atom": -0.1869, "raw_formation_energy_mev_per_atom": 1476}

***

Record 5
{"formula": "HfAsIO2", "functional": "PBE-GGA", "state": "relaxed", "cell": [[4.086, 0.000, 0.000], [0.000, 4.086, 0.000], [0.000, 0.000, 5.444]], "species": ["Hf", "As", "I", "O", "O"], "fractional_positions": [[0.000, 0.000, 0.000], [0.500, 0.500, 0.500], [0.500, 0.500, 0.000], [0.000, 0.500, 0.500], [0.500, 0.000, 0.500]], "total_energy_ha_per_atom": -0.1857, "raw_formation_energy_mev_per_atom": 161}

***

Record 6
{"formula": "HfAsIO2", "functional": "PBE-GGA", "state": "relaxed", "cell": [[4.092, 0.000, 0.000], [0.000, 4.092, 0.000], [0.000, 0.000, 6.210]], "species": ["Hf", "As", "I", "O", "O"], "fractional_positions": [[0.000, 0.000, 0.000], [0.500, 0.500, 0.500], [0.000, 0.000, 0.500], [0.000, 0.500, 0.000], [0.500, 0.000, 0.000]], "total_energy_ha_per_atom": -0.2367, "raw_formation_energy_mev_per_atom": -1228}

***

Record 7
{"formula": "Rb2HfAsI6", "functional": "PBE-GGA", "state": "relaxed", "cell": [[0.000, 6.287, 6.287], [6.287, 0.000, 6.287], [6.287, 6.287, 0.000]], "species": ["Rb", "Rb", "Hf", "As", "I", "I", "I", "I", "I", "I"], "fractional_positions": [[0.250, 0.250, 0.250], [0.750, 0.750, 0.750], [0.000, 0.000, 0.000], [0.500, 0.500, 0.500], [0.228, 0.228, 0.772], [0.228, 0.772, 0.228], [0.228, 0.772, 0.772], [0.772, 0.228, 0.228], [0.772, 0.228, 0.772], [0.772, 0.772, 0.228]], "total_energy_ha_per_atom": -0.1220, "raw_formation_energy_mev_per_atom": -736}

***

Record 8
{"formula": "Hf2SbAsI", "functional": "PBE-GGA", "state": "relaxed", "cell": [[5.422, 0.000, 0.000], [0.000, 5.422, 0.000], [0.000, 0.000, 5.148]], "species": ["Hf", "Hf", "Sb", "As", "I"], "fractional_positions": [[0.000, 0.500, 0.000], [0.500, 0.000, 0.000], [0.000, 0.000, 0.000], [0.000, 0.000, 0.500], [0.500, 0.500, 0.500]], "total_energy_ha_per_atom": -0.1880, "raw_formation_energy_mev_per_atom": 931}